Compound: ZrNbReTc
Source: Alexandria
Functional: PBE
Structure: optimized geometry Values from VASP.

Cell and atoms, written as Quantum ESPRESSO input:
```
&SYSTEM
  ibrav = 0, nat = 4, ntyp = 4
/
ATOMIC_SPECIES
Zr 91.22 Zr.upf
Re 186.21 Re.upf
Nb 92.91 Nb.upf
Tc 98.00 Tc.upf
CELL_PARAMETERS angstrom
4.5906 0.0000 0.0000
2.2953 3.9756 0.0000
2.2953 1.3252 3.7482
ATOMIC_POSITIONS crystal
Zr 0.5000 0.5000 0.5000
Re 0.7500 0.7500 0.7500
Nb 0.0000 0.0000 0.0000
Tc 0.2500 0.2500 0.2500
```

Computed properties:
formation energy from the elements: -312.6 meV per atom
excess energy over the best structure of this formula in the dataset: 0 meV per atom
symmetry: F-43m

Compound: MgGaSe
Source: Alexandria
Functional: PBE
Structure: optimized geometry Values from VASP.

Cell and atoms, written as Quantum ESPRESSO input:
```
&SYSTEM
  ibrav = 0, nat = 6, ntyp = 3
/
ATOMIC_SPECIES
Ga 69.72 Ga.upf
Mg 24.30 Mg.upf
Se 78.96 Se.upf
CELL_PARAMETERS angstrom
-2.0735 -3.2210 -1.6864
2.8328 -1.7423 5.0385
-6.0406 2.3309 2.9751
ATOMIC_POSITIONS crystal
Ga 0.0227 0.0454 0.6812
Ga 0.9773 0.9546 0.3188
Mg 0.1505 0.3009 0.0714
Se 0.7484 0.4969 0.2481
Se 0.2516 0.5031 0.7519
Mg 0.8495 0.6991 0.9286
```

Computed properties:
raw formation energy: -0.444 eV per atom
symmetry: C2/m

Compound: Tc3SbPd
Source: Alexandria
Functional: PBE
Structure: optimized geometry Values from VASP.

Cell and atoms, written as Quantum ESPRESSO input:
```
&SYSTEM
  ibrav = 0, nat = 5, ntyp = 3
/
ATOMIC_SPECIES
Tc 98.00 Tc.upf
Sb 121.76 Sb.upf
Pd 106.42 Pd.upf
CELL_PARAMETERS angstrom
-2.0596 -1.0787 4.1911
-3.8312 -1.7041 -2.3214
2.0127 -4.3478 -0.1300
ATOMIC_POSITIONS crystal
Tc 0.0000 0.5000 0.0000
Tc 0.0000 0.0000 0.5000
Sb 0.5000 0.5000 0.5000
Tc 0.5000 0.0000 0.0000
Pd 0.0000 0.0000 0.0000
```

Computed properties:
raw formation energy: 1.855 eV per atom
excess energy over the best structure of this formula in the dataset: 0 meV per atom
symmetry: Pm-3m

Compound: BeCu2Pd5
Source: Alexandria
Functional: PBE
Structure: optimized geometry Values from VASP.

Cell and atoms, written as Quantum ESPRESSO input:
```
&SYSTEM
  ibrav = 0, nat = 16, ntyp = 3
/
ATOMIC_SPECIES
Cu 63.55 Cu.upf
Pd 106.42 Pd.upf
Be 9.01 Be.upf
CELL_PARAMETERS angstrom
4.0471 0.0000 0.0000
0.0000 5.2995 0.0000
0.0000 0.0000 10.2045
ATOMIC_POSITIONS crystal
Cu 0.5000 0.8379 0.1381
Pd 0.0000 0.0000 0.0000
Cu 0.5000 0.1621 0.8619
Pd 0.5000 0.1711 0.6031
Pd 0.5000 0.6711 0.8969
Pd 0.0000 0.9027 0.7296
Pd 0.5000 0.8289 0.3969
Be 0.0000 0.0000 0.5000
Pd 0.0000 0.0973 0.2704
Pd 0.0000 0.4027 0.7704
Be 0.0000 0.5000 0.0000
Cu 0.5000 0.6621 0.6381
Pd 0.5000 0.3289 0.1031
Cu 0.5000 0.3379 0.3619
Pd 0.0000 0.5973 0.2296
Pd 0.0000 0.5000 0.5000
```

Computed properties:
formation energy from the elements: -217.9 meV per atom
excess energy over the best structure of this formula in the dataset: 0 meV per atom
symmetry: Pbam

Compound: BaTe2CN
Source: Alexandria
Functional: PBE
Structure: optimized geometry Values from VASP.

Cell and atoms, written as Quantum ESPRESSO input:
```
&SYSTEM
  ibrav = 0, nat = 5, ntyp = 4
/
ATOMIC_SPECIES
N 14.01 N.upf
Te 127.60 Te.upf
C 12.01 C.upf
Ba 137.33 Ba.upf
CELL_PARAMETERS angstrom
4.8466 0.0000 0.0000
0.0000 4.8466 0.0000
0.0000 0.0000 5.0420
ATOMIC_POSITIONS crystal
N 0.0000 0.0000 0.5000
Te 0.5000 0.0000 0.0000
C 0.0000 0.0000 0.0000
Te 0.0000 0.5000 0.0000
Ba 0.5000 0.5000 0.5000
```

Computed properties:
raw formation energy: 1.066 eV per atom
excess energy over the best structure of this formula in the dataset: 0 meV per atom
symmetry: P4/mmm

Compound: Li4Cd7Rh
Source: Alexandria
Functional: PBE
Structure: optimized geometry Values from VASP.

Cell and atoms, written as Quantum ESPRESSO input:
```
&SYSTEM
  ibrav = 0, nat = 12, ntyp = 3
/
ATOMIC_SPECIES
Li 6.94 Li.upf
Cd 112.41 Cd.upf
Rh 102.91 Rh.upf
CELL_PARAMETERS angstrom
-5.1558 0.0832 2.8683
-2.5888 0.1727 7.3681
2.5360 7.3160 1.1312
ATOMIC_POSITIONS crystal
Li 0.0842 0.8326 0.6810
Cd 0.5748 0.8287 0.6508
Li 0.6511 0.6816 0.3238
Li 0.3489 0.3184 0.6762
Cd 0.8286 0.3173 0.6653
Li 0.9158 0.1674 0.3190
Cd 0.7414 0.4994 0.0083
Cd 0.1714 0.6827 0.3347
Rh 0.0000 0.0000 0.0000
Cd 0.4252 0.1713 0.3492
Cd 0.5000 0.0000 0.0000
Cd 0.2586 0.5006 0.9917
```

Computed properties:
formation energy from the elements: -194.4 meV per atom
excess energy over the best structure of this formula in the dataset: 0 meV per atom
symmetry: P-1

Compound: TbMg2Cd2Hg2
Source: Alexandria
Functional: PBE
Structure: optimized geometry Values from VASP.

Cell and atoms, written as Quantum ESPRESSO input:
```
&SYSTEM
  ibrav = 0, nat = 7, ntyp = 4
/
ATOMIC_SPECIES
Mg 24.30 Mg.upf
Hg 200.59 Hg.upf
Cd 112.41 Cd.upf
Tb 158.93 Tb.upf
CELL_PARAMETERS angstrom
-2.1649 1.2313 -4.2102
2.5399 -0.1076 -4.1793
-1.9811 -7.0516 -3.8853
ATOMIC_POSITIONS crystal
Mg 0.1400 0.1400 0.5800
Hg 0.7292 0.7292 0.8125
Cd 0.5735 0.5735 0.2794
Mg 0.8600 0.8600 0.4200
Hg 0.2708 0.2708 0.1875
Tb 0.0000 0.0000 0.0000
Cd 0.4265 0.4265 0.7206
```

Computed properties:
formation energy from the elements: -215.1 meV per atom
symmetry: R-3m

Compound: TbZnIn
Source: Alexandria
Functional: PBE
Structure: optimized geometry Values from VASP.

Cell and atoms, written as Quantum ESPRESSO input:
```
&SYSTEM
  ibrav = 0, nat = 3, ntyp = 3
/
ATOMIC_SPECIES
Zn 65.41 Zn.upf
In 114.82 In.upf
Tb 158.93 Tb.upf
CELL_PARAMETERS angstrom
-0.4924 1.4362 2.8376
2.1803 -1.9381 1.3592
4.9356 5.5687 -3.7869
ATOMIC_POSITIONS crystal
Zn 0.9444 0.9444 0.8888
In 0.7749 0.7749 0.5498
Tb 0.1307 0.1307 0.2614
```

Computed properties:
formation energy from the elements: 179.4 meV per atom
symmetry: I4mm

One value per record, in order, for spin magnetization: 0.00, 0.00, 6.79, 0.00, 1.77, 0.00, 0.00, 0.06 μB per formula unit.